The following is a DFT calculation (PBE) of a relaxed structure of LaAlTcBi2.

Values from the calculation:
* energy of formation: 0.957 eV/atom
* symmetry: No. 123
* electronic total energy: -4.403 eV/atom

POSCAR file:
```
LaAlTcBi2
1.0
5.355 0.000 0.000
0.000 5.355 0.000
0.000 0.000 5.647
La Al Tc Bi
1 1 1 2
direct
0.000 0.000 0.000
0.000 0.000 0.500
0.500 0.500 0.000
0.000 0.500 0.500
0.500 0.000 0.500
```